Entry 1:
## CsLiBeSi2 (PBEsol)

Data for a relaxed CsLiBeSi2 crystal.

Cell: 4.721 4.721 5.278 Å, 90.00 90.00 90.00°
Sites, in units of the cell vectors:
Be: 0.500 0.500 0.500
Si: 0.000 0.500 0.000
Si: 0.500 0.000 0.000
Li: 0.000 0.000 0.000
Cs: 0.000 0.000 0.500

Output
size of the total moment: 0.00 μB/cell
uncorrected formation energy: 1.1865 eV per atom
DFT total energy: -0.09165 Ha/atom

***

Entry 2:
## CsYMgBe2 (PBEsol)

Data for a relaxed CsYMgBe2 crystal.

Cell: 5.463 5.463 6.137 Å, 90.00 90.00 90.00°
Sites, in units of the cell vectors:
Be: 0.500 0.000 0.000
Be: 0.000 0.500 0.000
Mg: 0.000 0.000 0.500
Cs: 0.500 0.500 0.500
Y: 0.000 0.000 0.000

Output
size of the total moment: 0.01 μB/cell
DFT total energy: -0.08302 Ha/atom

***

Entry 3:
## CsMn3Be (PBEsol)

Data for a relaxed CsMn3Be crystal.

Cell: 4.432 4.432 4.432 Å, 90.00 90.00 90.00°
Sites, in units of the cell vectors:
Mn: 0.000 0.500 0.000
Cs: 0.500 0.500 0.500
Be: 0.000 0.000 0.000
Mn: 0.000 0.000 0.500
Mn: 0.500 0.000 0.000

Output
size of the total moment: 9.75 μB/cell
DFT total energy: -0.20402 Ha/atom

***

Entry 4:
## CsBeMoPd2 (PBEsol)

Data for a relaxed CsBeMoPd2 crystal.

Cell: 4.361 4.361 5.182 Å, 90.00 90.00 90.00°
Sites, in units of the cell vectors:
Cs: 0.000 0.000 0.500
Pd: 0.000 0.500 0.000
Be: 0.000 0.000 0.000
Pd: 0.500 0.000 0.000
Mo: 0.500 0.500 0.500

Output
size of the total moment: 4.30 μB/cell
DFT total energy: -0.16233 Ha/atom

***

Entry 5:
## CsBeN2 (PBEsol)

Data for a relaxed CsBeN2 crystal.

Cell: 4.100 4.100 7.384 Å, 73.88 73.88 60.00°
Sites, in units of the cell vectors:
Be: 0.000 0.000 0.000
N: 0.074 0.074 0.777
N: 0.926 0.926 0.223
Cs: 0.500 0.500 0.500

Output
size of the total moment: 3.00 μB/cell
uncorrected formation energy: 1.1224 eV per atom
DFT total energy: -0.16084 Ha/atom

***

Entry 6:
## CsBePO4 (PBEsol)

Data for a relaxed CsBePO4 crystal.

Cell: 5.150 8.592 8.905 Å, 90.00 90.00 90.00°
Sites, in units of the cell vectors:
Cs: 0.750 0.993 0.797
O: 0.750 0.740 0.262
P: 0.750 0.313 0.081
Be: 0.250 0.823 0.589
O: 0.250 0.510 0.907
Cs: 0.250 0.007 0.203
Be: 0.750 0.177 0.411
O: 0.250 0.760 0.762
O: 0.993 0.755 0.504
Cs: 0.750 0.493 0.703
P: 0.250 0.187 0.581
O: 0.750 0.240 0.238
O: 0.750 0.990 0.407
O: 0.493 0.245 0.496
O: 0.493 0.745 0.004
O: 0.507 0.255 0.996
Be: 0.750 0.677 0.089
O: 0.250 0.260 0.738
O: 0.007 0.245 0.496
P: 0.250 0.687 0.919
O: 0.250 0.010 0.593
O: 0.507 0.755 0.504
Cs: 0.250 0.507 0.297
P: 0.750 0.813 0.419
O: 0.993 0.255 0.996
Be: 0.250 0.323 0.911
O: 0.007 0.745 0.004
O: 0.750 0.490 0.093

Output
size of the total moment: 0.00 μB/cell
uncorrected formation energy: -2.5127 eV per atom
DFT total energy: -0.25893 Ha/atom

***

Entry 7:
## CsBe2SnO (PBEsol)

Data for a relaxed CsBe2SnO crystal.

Cell: 4.365 4.365 5.350 Å, 90.00 90.00 90.00°
Sites, in units of the cell vectors:
Be: 0.000 0.500 0.000
Cs: 0.500 0.500 0.500
Be: 0.500 0.000 0.000
Sn: 0.000 0.000 0.500
O: 0.000 0.000 0.000

Output
size of the total moment: 0.00 μB/cell
uncorrected formation energy: 0.8521 eV per atom
DFT total energy: -0.10430 Ha/atom

***

Entry 8:
## CsBeZn2O (PBEsol)

Data for a relaxed CsBeZn2O crystal.

Cell: 2.999 6.334 6.334 Å, 90.00 90.00 90.00°
Sites, in units of the cell vectors:
Cs: 0.500 0.500 0.500
Zn: 0.000 0.500 0.000
Zn: 0.000 0.000 0.500
Be: 0.500 0.000 0.000
O: 0.000 0.000 0.000

Output
size of the total moment: 0.00 μB/cell
uncorrected formation energy: -0.2627 eV per atom
DFT total energy: -0.10782 Ha/atom